First-principles (PBE-GGA) data for crystalline Ce2PuSb3 at its relaxed geometry, as listed in Alexandria via LeMat-Bulk.

Computed properties:
Formation energy from raw total energies   -5.4 eV/f.u.
Calculated volume   380 Å³/cell
E_tot   -7.33 eV per atom
Polymorph energy (0 for the lowest one)   0 meV per atom
Crystal system   monoclinic

The structure in POSCAR format:
```
Ce2PuSb3
1.0
3.879 -6.720 0.000
3.879 6.720 0.000
-2.586 0.000 7.295
Ce Pu Sb
4 2 6
direct
0.000 0.000 0.000 Ce
0.166 0.834 0.500 Ce
0.500 0.500 0.500 Ce
0.834 0.166 0.500 Ce
0.333 0.667 0.000 Pu
0.667 0.333 0.000 Pu
0.083 0.418 0.248 Sb
0.253 0.253 0.752 Sb
0.418 0.083 0.248 Sb
0.582 0.917 0.752 Sb
0.747 0.747 0.248 Sb
0.917 0.582 0.752 Sb
```